# 1
Entry from the Alexandria database: a geometry-optimized ScGaS2O structure (PBE).

Volume (A^3/atom): 16.67
E_form (uncorrected) (eV per atom): -0.950

Cell: 4.779 4.779 3.650 Å, 90.00 90.00 90.00°
Space group P4/mmm (No. 123)
Asymmetric unit:
Sc: 0.000 0.000 0.000
Ga: 0.500 0.500 0.500
S: 0.000 0.500 0.500
O: 0.500 0.500 0.000



# 2
Entry from the Alexandria database: a geometry-optimized GaSb2O structure (PBE).

Volume (A^3/atom): 24.01
Excess energy over the best structure of this formula in the dataset (meV per atom): 0
E_form (uncorrected) (eV per atom): -0.181

Cell: 5.324 5.324 13.554 Å, 90.00 90.00 90.00°
Space group I-42d (No. 122)
Asymmetric unit:
Ga: 0.000 0.000 0.000
Sb: 0.164 0.250 0.625
O: 0.000 0.000 0.500